Compound: MgZrF2
Source: Alexandria
Functional: PBE
Structure: relaxed

Summary:
The calculation puts the calculated total energy at -4.690 eV/atom.

a b c (Å): 4.425 4.425 4.425
angles (deg): 60.00 60.00 60.00
Fractional positions:
Mg: 0.000 0.000 0.000
Zr: 0.500 0.500 0.500
F: 0.250 0.250 0.250
F: 0.750 0.750 0.750

***

Compound: Ti2SiSb
Source: Alexandria
Functional: PBE
Structure: relaxed

Summary:
The calculation puts the calculated total energy at -6.488 eV/atom.

a b c (Å): 4.632 4.632 4.632
angles (deg): 60.00 60.00 60.00
Fractional positions:
Sb: 0.500 0.500 0.500
Si: 0.000 0.000 0.000
Ti: 0.250 0.250 0.250
Ti: 0.750 0.750 0.750

***

Compound: SrYTiSi2
Source: Alexandria
Functional: PBE
Structure: relaxed

Summary:
The calculation puts the calculated total energy at -4.689 eV/atom.

a b c (Å): 5.391 4.954 5.391
angles (deg): 90.00 90.00 90.00
Fractional positions:
Y: 0.000 0.000 0.000
Sr: 0.500 0.500 0.500
Si: 0.000 0.000 0.500
Si: 0.500 0.000 0.000
Ti: 0.000 0.500 0.000

***

Compound: Ce3Co2CuGe6
Source: Alexandria
Functional: PBE
Structure: relaxed

Summary:
The formation energy comes out at -220 meV/atom.

a b c (Å): 6.259 6.259 6.979
angles (deg): 90.00 90.00 120.00
Fractional positions:
Ce: 0.333 0.667 0.713
Ce: 0.667 0.333 0.287
Ce: 0.000 0.000 0.000
Co: 0.667 0.333 0.983
Co: 0.333 0.667 0.017
Cu: 0.000 0.000 0.500
Ge: 0.613 0.807 0.302
Ge: 0.193 0.387 0.302
Ge: 0.193 0.807 0.302
Ge: 0.807 0.613 0.698
Ge: 0.387 0.193 0.698
Ge: 0.807 0.193 0.698

***

Compound: SrCa2MgCd4
Source: Alexandria
Functional: PBE
Structure: relaxed

Summary:
The formation energy comes out at -271 meV/atom.

a b c (Å): 5.325 5.325 9.656
angles (deg): 74.00 74.00 60.00
Fractional positions:
Sr: 0.000 0.000 0.000
Ca: 0.756 0.756 0.731
Ca: 0.244 0.244 0.269
Mg: 0.500 0.500 0.500
Cd: 0.387 0.387 0.840
Cd: 0.873 0.873 0.380
Cd: 0.127 0.127 0.620
Cd: 0.613 0.613 0.160

***

V, respectively: 15.32, 17.57, 28.80, 19.73, 28.10 Å³/atom.